Record 1
A plane-wave DFT calculation with PBE was carried out for an optimized crystal structure of LaTb12Sm7.

Magnetization ... 0.00 μB/cell
Offset from the most stable computed form ... 0.400 eV per atom
Formation energy ... 0.63 eV per atom
E_tot ... -4.0453 eV/atom

Cell: 9.8483 9.8483 9.8483 Å, 109.47 109.47 109.47°
Sites, in units of the cell vectors:
La 0.0000 0.0000 0.0000
Tb 0.4930 0.7466 0.7464
Tb 0.0002 0.7466 0.2536
Tb 0.5070 0.2534 0.2536
Tb 0.9998 0.2534 0.7464
Tb 0.7464 0.9998 0.2534
Tb 0.7464 0.4930 0.7466
Tb 0.2536 0.0002 0.7466
Tb 0.2536 0.5070 0.2534
Tb 0.7466 0.7464 0.4930
Tb 0.2534 0.2536 0.5070
Tb 0.7466 0.2536 0.0002
Tb 0.2534 0.7464 0.9998
Sm 0.5000 0.5000 0.0000
Sm 0.0000 0.5000 0.5000
Sm 0.5000 0.0000 0.5000
Sm 0.5000 0.5000 0.5000
Sm 0.0000 0.0000 0.5000
Sm 0.5000 0.0000 0.0000
Sm 0.0000 0.5000 0.0000

=====

Record 2
A plane-wave DFT calculation with PBE was carried out for an optimized crystal structure of La2Tb4Sm7.

Magnetization ... 0.00 μB/cell
Formation energy ... 0.17 eV per atom
E_tot ... -4.5548 eV/atom

Cell: 6.2001 6.2001 13.3274 Å, 90.00 90.00 120.00°
Sites, in units of the cell vectors:
La 0.6667 0.3333 0.0000
La 0.3333 0.6667 0.0000
Tb 0.0000 0.0000 0.6064
Tb 0.0000 0.0000 0.3936
Tb 0.6667 0.3333 0.5000
Tb 0.3333 0.6667 0.5000
Sm 0.0000 0.6342 0.7784
Sm 0.0000 0.3658 0.2216
Sm 0.0000 0.0000 0.0000
Sm 0.6342 0.0000 0.7784
Sm 0.3658 0.0000 0.2216
Sm 0.6342 0.6342 0.2216
Sm 0.3658 0.3658 0.7784

=====

Record 3
A plane-wave DFT calculation with PBE was carried out for an optimized crystal structure of La6Tb2Sm.

Magnetization ... 0.00 μB/cell
Offset from the most stable computed form ... 0.058 eV per atom
Formation energy ... 0.12 eV per atom
E_tot ... -4.7227 eV/atom

Cell: 3.7026 10.1969 10.1969 Å, 55.81 90.00 90.00°
Sites, in units of the cell vectors:
La 0.0000 0.5067 0.1624
La 0.0000 0.8376 0.4933
La 0.0000 0.4933 0.8376
La 0.5000 0.6762 0.3238
La 0.0000 0.1624 0.5067
La 0.5000 0.3238 0.6762
Tb 0.5000 0.1752 0.1752
Tb 0.5000 0.8248 0.8248
Sm 0.0000 0.0000 0.0000

=====

Record 4
A plane-wave DFT calculation with PBE was carried out for an optimized crystal structure of LaTb7Sm4.

Magnetization ... 0.00 μB/cell
Offset from the most stable computed form ... 0.000 eV per atom
Formation energy ... 0.01 eV per atom
E_tot ... -4.6758 eV/atom

Cell: 7.2627 9.6057 8.9612 Å, 81.08 90.00 40.93°
Sites, in units of the cell vectors:
La 0.0000 0.0000 0.0000
Tb 0.7502 0.4999 0.9996
Tb 0.2498 0.5001 0.0004
Tb 0.9712 0.2790 0.6663
Tb 0.0288 0.7210 0.3337
Tb 0.2211 0.7789 0.6662
Tb 0.5000 0.0000 0.0000
Tb 0.7789 0.2211 0.3338
Sm 0.5298 0.7205 0.3348
Sm 0.4702 0.2795 0.6652
Sm 0.7208 0.7791 0.6671
Sm 0.2792 0.2209 0.3329

=====

Copy entry 1 word for word.
A plane-wave DFT calculation with PBE was carried out for an optimized crystal structure of LaTb12Sm7.

Magnetization ... 0.00 μB/cell
Offset from the most stable computed form ... 0.400 eV per atom
Formation energy ... 0.63 eV per atom
E_tot ... -4.0453 eV/atom

Cell: 9.8483 9.8483 9.8483 Å, 109.47 109.47 109.47°
Sites, in units of the cell vectors:
La 0.0000 0.0000 0.0000
Tb 0.4930 0.7466 0.7464
Tb 0.0002 0.7466 0.2536
Tb 0.5070 0.2534 0.2536
Tb 0.9998 0.2534 0.7464
Tb 0.7464 0.9998 0.2534
Tb 0.7464 0.4930 0.7466
Tb 0.2536 0.0002 0.7466
Tb 0.2536 0.5070 0.2534
Tb 0.7466 0.7464 0.4930
Tb 0.2534 0.2536 0.5070
Tb 0.7466 0.2536 0.0002
Tb 0.2534 0.7464 0.9998
Sm 0.5000 0.5000 0.0000
Sm 0.0000 0.5000 0.5000
Sm 0.5000 0.0000 0.5000
Sm 0.5000 0.5000 0.5000
Sm 0.0000 0.0000 0.5000
Sm 0.5000 0.0000 0.0000
Sm 0.0000 0.5000 0.0000

=====

- Number 2 is which compound?
  La2Tb4Sm7

=====

- The lowest formation energy belongs to which entry?
  LaTb7Sm4